[1]
Here is Tc2Bi2Se after structural relaxation from Alexandria via LeMat-Bulk. Energies are from PBE-GGA.

```
Tc2Bi2Se
1.0
8.8558 0.0000 0.0000
0.0000 8.8558 0.0000
0.0000 0.0000 3.0444
Bi Tc Se
4 4 2
direct
0.3134 0.8134 0.0000
0.8134 0.6866 0.0000
0.6866 0.1866 0.0000
0.1866 0.3134 0.0000
0.5880 0.9120 0.5000
0.4120 0.0880 0.5000
0.9120 0.4120 0.5000
0.0880 0.5880 0.5000
0.5000 0.5000 0.0000
0.0000 0.0000 0.0000
```

E_form (uncorrected) = 0.7239 eV/atom
E above lowest polymorph = 393 meV/atom


[2]
Here is DyErLuZn after structural relaxation from Alexandria via LeMat-Bulk. Energies are from PBE-GGA.

```
DyErLuZn
1.0
5.2721 0.0000 0.0000
2.6360 4.5658 0.0000
2.6360 1.5219 4.3046
Zn Er Lu Dy
1 1 1 1
direct
0.0000 0.0000 0.0000
0.2500 0.2500 0.2500
0.5000 0.5000 0.5000
0.7500 0.7500 0.7500
```

formation enthalpy at 0 K = 88 meV/atom


[3]
Here is SrSm3Te4 after structural relaxation from Alexandria via LeMat-Bulk. Energies are from PBE-GGA.

```
SrSm3Te4
1.0
-0.4693 -2.3266 3.7894
7.4276 -2.3830 -0.5433
-0.2379 6.6736 4.0680
Te Sm Sr
4 3 1
direct
0.5000 0.7469 0.2531
0.0000 0.7429 0.7429
0.5000 0.2531 0.7469
0.0000 0.2571 0.2571
0.0000 0.5000 0.0000
0.5000 0.5000 0.5000
0.0000 0.0000 0.5000
0.5000 0.0000 0.0000
```

E_form (uncorrected) = -1.4484 eV/atom